Record 1
A PBEsol-optimized structure of Mg3HS. Source: the Alexandria database, functional meta-GGA SCAN.

Properties
Space-group type: Pm-3m (221)
E_tot in eV for the cell shown: -28.12
Spin magnetization in μB/f.u.: 0.000

Lattice parameters (Å, degrees): 4.3667 4.3667 4.3667 90.00 90.00 90.00
Atoms (fractional coordinates):
S1 0.5000 0.5000 0.5000
Mg1 0.0000 0.0000 0.5000
Mg2 0.5000 0.0000 0.0000
Mg3 0.0000 0.5000 0.0000
H1 0.0000 0.0000 0.0000

=====

Record 2
A PBEsol-optimized structure of Mg2SbH2. Source: the Alexandria database, functional meta-GGA SCAN.

Properties
Space-group type: I4/mmm (139)
E_tot in eV for the cell shown: -55.34
Spin magnetization in μB/f.u.: 0.000

Lattice parameters (Å, degrees): 3.4545 3.4545 6.4529 105.53 105.53 90.00
Atoms (fractional coordinates):
Sb1 0.0000 0.0000 0.0000
H1 0.2500 0.7500 0.5000
H2 0.7500 0.2500 0.5000
Mg1 0.6598 0.6598 0.3196
Mg2 0.3402 0.3402 0.6804

=====

Record 3
A PBEsol-optimized structure of Mg2SbH2. Source: the Alexandria database, functional meta-GGA SCAN.

Properties
Space-group type: P4/mbm (127)
E_tot in eV for the cell shown: -105.59
Spin magnetization in μB/f.u.: 0.000

Lattice parameters (Å, degrees): 2.9301 7.2030 7.2030 90.00 90.00 90.00
Atoms (fractional coordinates):
Mg1 0.5000 0.6382 0.8618
Mg2 0.5000 0.8618 0.3618
Mg3 0.5000 0.3618 0.1382
Mg4 0.5000 0.1382 0.6382
H1 0.0000 0.8985 0.6015
H2 0.0000 0.3985 0.8985
H3 0.0000 0.6015 0.1015
H4 0.0000 0.1015 0.3985
Sb1 0.0000 0.5000 0.5000
Sb2 0.0000 0.0000 0.0000

=====

Record 4
A PBEsol-optimized structure of MgSbH2. Source: the Alexandria database, functional meta-GGA SCAN.

Properties
Space-group type: Fm-3m (225)
E_tot in eV for the cell shown: -46.96
Spin magnetization in μB/f.u.: 0.000

Lattice parameters (Å, degrees): 4.1800 4.1800 4.1800 60.00 60.00 60.00
Atoms (fractional coordinates):
Sb1 0.5000 0.5000 0.5000
H1 0.7500 0.7500 0.7500
H2 0.2500 0.2500 0.2500
Mg1 0.0000 0.0000 0.0000